# 1
{"formula": "LaNb", "functional": "PBE-GGA", "state": "optimized geometry", "lattice": [[-2.462, 1.367, 1.675], [-2.538, -3.812, -0.463], [1.297, -2.094, 6.444]], "species": ["La", "La", "Nb", "Nb"], "frac_coords": [[0.332, 0.763, 0.344], [0.668, 0.237, 0.656], [0.097, 0.260, 0.087], [0.903, 0.740, 0.913]], "magmom_total_mub_per_fu": 0.00, "n_ef_per_ev_atom": 1.23, "de_polymorph_mev_per_atom": 120}


# 2
{"formula": "LaNb", "functional": "PBE-GGA", "state": "optimized geometry", "lattice": [[3.135, 0.000, 0.000], [-1.568, 2.715, 0.000], [0.000, 0.000, 11.544]], "species": ["La", "La", "Nb", "Nb"], "frac_coords": [[0.333, 0.667, 0.671], [0.667, 0.333, 0.171], [0.333, 0.667, 0.411], [0.667, 0.333, 0.911]], "magmom_total_mub_per_fu": 0.00, "n_ef_per_ev_atom": 1.40, "de_polymorph_mev_per_atom": 487}


# 3
{"formula": "La3NbNi", "functional": "PBE-GGA", "state": "optimized geometry", "lattice": [[5.383, 0.000, 0.000], [0.000, 5.383, 0.000], [0.000, 0.000, 5.383]], "species": ["Ni", "Nb", "La", "La", "La"], "frac_coords": [[0.000, 0.000, 0.000], [0.500, 0.500, 0.500], [0.000, 0.500, 0.000], [0.000, 0.000, 0.500], [0.500, 0.000, 0.000]], "magmom_total_mub_per_fu": 2.57, "n_ef_per_ev_atom": 2.20, "de_polymorph_mev_per_atom": 0}


# 4
{"formula": "La2NbNi2", "functional": "PBE-GGA", "state": "optimized geometry", "lattice": [[6.956, 0.000, 0.000], [0.000, 6.956, 0.000], [0.000, 0.000, 4.452]], "species": ["Ni", "Ni", "Ni", "Ni", "Nb", "Nb", "La", "La", "La", "La"], "frac_coords": [[0.366, 0.866, 0.000], [0.866, 0.634, 0.000], [0.634, 0.134, 0.000], [0.134, 0.366, 0.000], [0.000, 0.000, 0.000], [0.500, 0.500, 0.000], [0.177, 0.677, 0.500], [0.677, 0.823, 0.500], [0.823, 0.323, 0.500], [0.323, 0.177, 0.500]], "energy_ev_per_atom": -6.2942, "magmom_total_mub_per_fu": 0.00, "n_ef_per_ev_atom": 1.45}


# 5
{"formula": "LaNb3Ni", "functional": "PBE-GGA", "state": "optimized geometry", "lattice": [[4.840, 0.000, 0.000], [0.000, 4.840, 0.000], [0.000, 0.000, 4.840]], "species": ["Ni", "Nb", "Nb", "Nb", "La"], "frac_coords": [[0.500, 0.500, 0.500], [0.000, 0.500, 0.000], [0.000, 0.000, 0.500], [0.500, 0.000, 0.000], [0.000, 0.000, 0.000]], "magmom_total_mub_per_fu": 0.50, "n_ef_per_ev_atom": 1.20, "de_polymorph_mev_per_atom": 1349}


# 6
{"formula": "LaNb3Ni", "functional": "PBE-GGA", "state": "optimized geometry", "lattice": [[-3.204, -1.280, 3.336], [2.524, -3.982, 0.897], [2.528, 2.354, 3.332]], "species": ["Ni", "Nb", "Nb", "Nb", "La"], "frac_coords": [[0.000, 0.000, 0.000], [0.000, 0.500, 0.000], [0.000, 0.000, 0.500], [0.500, 0.000, 0.000], [0.500, 0.500, 0.500]], "magmom_total_mub_per_fu": 0.00, "n_ef_per_ev_atom": 1.93, "de_polymorph_mev_per_atom": 0}